1.
The following is a PBE calculation of crystalline CsBHW2 at its relaxed geometry, from Alexandria.

Cell: 3.844 3.844 6.554 Å, 90.00 90.00 90.00°
Space group P4/mmm (No. 123)
Inequivalent atoms, fractional coordinates:
Cs: 0.000 0.000 0.000 x1
B: 0.500 0.500 0.000 x1
H: 0.500 0.500 0.500 x1
W: 0.000 0.500 0.500 x2

Properties
Uncorrected energy: -5.25 eV per atom

2.
The following is a PBE calculation of crystalline CsHfB3 at its relaxed geometry, from Alexandria.

Cell: 4.791 4.791 4.791 Å, 90.00 90.00 90.00°
Space group Pm-3m (No. 221)
Inequivalent atoms, fractional coordinates:
Cs: 0.000 0.000 0.000 x1
Hf: 0.500 0.500 0.500 x1
B: 0.000 0.500 0.500 x3

Properties
E_form: 7.917 eV per formula unit
Relative energy among the computed polymorphs: 0 meV/atom

3.
The following is a PBE calculation of crystalline CsHfB2 at its relaxed geometry, from Alexandria.

Cell: 5.640 5.640 14.497 Å, 90.00 90.00 90.00°
Space group I-42d (No. 122)
Inequivalent atoms, fractional coordinates:
Cs: 0.000 0.000 0.000 x4
Hf: 0.000 0.000 0.500 x4
B: 0.001 0.250 0.625 x8

Properties
E_form: 5.346 eV per formula unit
Relative energy among the computed polymorphs: 0 meV/atom

4.
The following is a PBE calculation of crystalline CsHfB2 at its relaxed geometry, from Alexandria.

Cell: 6.654 6.654 6.654 Å, 90.00 90.00 90.00°
Space group Fm-3m (No. 225)
Inequivalent atoms, fractional coordinates:
Cs: 0.000 0.000 0.000 x4
Hf: 0.000 0.000 0.500 x4
B: 0.250 0.250 0.250 x8

Properties
E_form: 7.839 eV per formula unit
Relative energy among the computed polymorphs: 623 meV/atom

5.
The following is a PBE calculation of crystalline CsHfB3 at its relaxed geometry, from Alexandria.

Cell: 4.461 4.461 4.461 Å, 90.00 90.00 90.00°
Space group Pm-3m (No. 221)
Inequivalent atoms, fractional coordinates:
Cs: 0.000 0.000 0.000 x1
Hf: 0.500 0.500 0.500 x1
B: 0.000 0.000 0.500 x3

Properties
E_form: 15.580 eV per formula unit
Relative energy among the computed polymorphs: 1533 meV/atom

6.
The following is a PBE calculation of crystalline CsHf2B2 at its relaxed geometry, from Alexandria.

Cell: 7.714 7.714 2.976 Å, 90.00 90.00 90.00°
Space group P4/mbm (No. 127)
Inequivalent atoms, fractional coordinates:
Cs: 0.000 0.000 0.000 x2
Hf: 0.134 0.366 0.000 x4
B: 0.149 0.649 0.500 x4

Properties
E_form: 4.259 eV per formula unit